Below is a geometry-optimized V2SbO6 structure, with properties calculated at the PBE with a Hubbard U level.

The structure in POSCAR format:
```
V2SbO6
1.0
-2.678 3.533 0.980
-3.600 -0.503 -8.023
-3.512 -4.520 6.694
V Sb O
6 3 18
Direct
0.000 0.000 0.347 V
0.000 0.653 0.653 V
0.000 0.347 0.000 V
0.000 0.000 0.653 V
0.000 0.347 0.347 V
0.000 0.653 0.000 V
0.514 0.667 0.333 Sb
0.486 0.333 0.667 Sb
0.000 0.000 0.000 Sb
0.254 0.886 0.443 O
0.254 0.557 0.114 O
0.254 0.557 0.443 O
0.746 0.443 0.557 O
0.746 0.443 0.886 O
0.746 0.114 0.557 O
0.759 0.446 0.223 O
0.759 0.777 0.554 O
0.759 0.777 0.223 O
0.789 0.767 0.884 O
0.789 0.116 0.233 O
0.789 0.116 0.884 O
0.211 0.884 0.116 O
0.211 0.884 0.767 O
0.211 0.233 0.116 O
0.241 0.554 0.777 O
0.241 0.223 0.446 O
0.241 0.223 0.777 O
```

Computed properties:
* SG: No. 164
* DFT total energy: -192.886 eV per cell